A relaxed structure of Hf6SbS2, computed with PBE.

abc: 8.4128 8.4128 6.0093
angles: 109.60 109.60 76.51
Sites, in units of the cell vectors:
Hf 0.0109 0.1780 0.0257
Hf 0.0767 0.5749 0.2801
Hf 0.1780 0.0109 0.5257
Hf 0.3297 0.4606 0.9905
Hf 0.4251 0.9233 0.2199
Hf 0.4606 0.3297 0.4905
Hf 0.5394 0.6703 0.5095
Hf 0.5749 0.0767 0.7801
Hf 0.6703 0.5394 0.0095
Hf 0.8220 0.9891 0.4743
Hf 0.9233 0.4251 0.7199
Hf 0.9891 0.8220 0.9743
Sb 0.2804 0.7196 0.7500
Sb 0.7196 0.2804 0.2500
S 0.1575 0.3262 0.5020
S 0.3262 0.1575 0.0020
S 0.6738 0.8425 0.9980
S 0.8425 0.6738 0.4980

Properties
ΔE_f (raw) in meV per atom: -627
Raw total energy in eV per atom: -8.638
Size of the total moment in Bohr magnetons per cell: 0.00